Record 1
# BeInMo2 | the Alexandria database | GGA-PBE | relaxed
# Energy above the most stable polymorph in this dataset = 0.147 eV/atom
# Calculated formation energy = 0.34 eV/atom
# Electronic total energy = -6.70 eV/atom
# Total magnetization = 0.0000 μB per atom
data_BeInMo2
_cell_length_a 2.785
_cell_length_b 4.078
_cell_length_c 5.601
_cell_angle_alpha 90.00
_cell_angle_beta 95.20
_cell_angle_gamma 90.00
_space_group_name_H-M_alt 'P 1 2/m 1'
_space_group_IT_number 10
loop_
_space_group_symop_operation_xyz
'x,y,z'
'-x,-y,-z'
'-x,y,-z'
'x,-y,z'
loop_
_atom_site_label
_atom_site_fract_x
_atom_site_fract_y
_atom_site_fract_z
_atom_site_occupancy
Be1 0.000 0.000 0.000 1
In1 0.000 0.000 0.500 1
Mo1 0.419 0.500 0.211 1

Record 2
# Be4InMo | the Alexandria database | GGA-PBE | relaxed
# Calculated formation energy = 0.17 eV/atom
# Electronic total energy = -4.57 eV/atom
# Total magnetization = 0.0001 μB per atom
data_Be4InMo
_cell_length_a 6.503
_cell_length_b 6.503
_cell_length_c 6.503
_cell_angle_alpha 90.00
_cell_angle_beta 90.00
_cell_angle_gamma 90.00
_space_group_name_H-M_alt 'F -4 3 m'
_space_group_IT_number 216
_space_group_name_Hall 'F -4 2 3'
loop_
_atom_site_label
_atom_site_fract_x
_atom_site_fract_y
_atom_site_fract_z
_atom_site_occupancy
Be1 0.120 0.120 0.380 1
In1 0.000 0.000 0.000 1
Mo1 0.250 0.250 0.750 1

Record 3
# BeInMo2 | the Alexandria database | GGA-PBE | relaxed
# Energy above the most stable polymorph in this dataset = 0.180 eV/atom
# Calculated formation energy = 0.37 eV/atom
# Electronic total energy = -6.66 eV/atom
# Total magnetization = 0.0000 μB per atom
data_BeInMo2
_cell_length_a 6.301
_cell_length_b 6.301
_cell_length_c 6.301
_cell_angle_alpha 90.00
_cell_angle_beta 90.00
_cell_angle_gamma 90.00
_space_group_name_H-M_alt 'F -4 3 m'
_space_group_IT_number 216
_space_group_name_Hall 'F -4 2 3'
loop_
_atom_site_label
_atom_site_fract_x
_atom_site_fract_y
_atom_site_fract_z
_atom_site_occupancy
Be1 0.000 0.000 0.000 1
In1 0.250 0.250 0.250 1
Mo1 0.000 0.000 0.500 1
Mo2 0.250 0.250 0.750 1

Record 4
# BeInMo2 | the Alexandria database | GGA-PBE | relaxed
# Energy above the most stable polymorph in this dataset = 0.000 eV/atom
# Calculated formation energy = 0.19 eV/atom
# Electronic total energy = -6.84 eV/atom
# Total magnetization = 0.0000 μB per atom
data_BeInMo2
_cell_length_a 3.217
_cell_length_b 3.217
_cell_length_c 6.196
_cell_angle_alpha 90.00
_cell_angle_beta 90.00
_cell_angle_gamma 90.00
_space_group_name_H-M_alt 'P 4 m m'
_space_group_IT_number 99
loop_
_space_group_symop_operation_xyz
'x,y,z'
'-y,x,z'
'-x,-y,z'
'y,-x,z'
'-x,y,z'
'y,x,z'
'x,-y,z'
'-y,-x,z'
loop_
_atom_site_label
_atom_site_fract_x
_atom_site_fract_y
_atom_site_fract_z
_atom_site_occupancy
Be1 0.000 0.000 0.000 1
In1 0.500 0.500 0.269 1
Mo1 0.000 0.000 0.588 1
Mo2 0.500 0.500 0.798 1

Record 5
# BeInMo2 | the Alexandria database | GGA-PBE | relaxed
# Energy above the most stable polymorph in this dataset = 0.085 eV/atom
# Calculated formation energy = 0.27 eV/atom
# Electronic total energy = -6.76 eV/atom
# Total magnetization = 0.0000 μB per atom
data_BeInMo2
_cell_length_a 2.831
_cell_length_b 4.257
_cell_length_c 5.370
_cell_angle_alpha 90.00
_cell_angle_beta 98.60
_cell_angle_gamma 90.00
_space_group_name_H-M_alt 'P 1 m 1'
_space_group_IT_number 6
loop_
_space_group_symop_operation_xyz
'x,y,z'
'x,-y,z'
loop_
_atom_site_label
_atom_site_fract_x
_atom_site_fract_y
_atom_site_fract_z
_atom_site_occupancy
Be1 0.000 0.000 0.000 1
In1 0.970 0.500 0.292 1
Mo1 0.366 0.500 0.816 1
Mo2 0.550 0.000 0.577 1

Record 6
# BeInMo2 | the Alexandria database | GGA-PBE | relaxed
# Energy above the most stable polymorph in this dataset = 0.180 eV/atom
# Calculated formation energy = 0.37 eV/atom
# Electronic total energy = -6.66 eV/atom
# Total magnetization = 0.0000 μB per atom
data_BeInMo2
_cell_length_a 4.099
_cell_length_b 4.099
_cell_length_c 7.447
_cell_angle_alpha 90.00
_cell_angle_beta 90.00
_cell_angle_gamma 90.00
_space_group_name_H-M_alt 'I -4 m 2'
_space_group_IT_number 119
_space_group_name_Hall 'I -4 -2'
loop_
_atom_site_label
_atom_site_fract_x
_atom_site_fract_y
_atom_site_fract_z
_atom_site_occupancy
Be1 0.000 0.000 0.000 1
In1 0.000 0.500 0.750 1
Mo1 0.000 0.000 0.500 1
Mo2 0.000 0.500 0.250 1

Record 7
# BeInMo2 | the Alexandria database | GGA-PBE | relaxed
# Energy above the most stable polymorph in this dataset = 0.486 eV/atom
# Calculated formation energy = 0.67 eV/atom
# Electronic total energy = -6.36 eV/atom
# Total magnetization = 0.0000 μB per atom
data_BeInMo2
_cell_length_a 3.745
_cell_length_b 3.745
_cell_length_c 19.318
_cell_angle_alpha 90.00
_cell_angle_beta 90.00
_cell_angle_gamma 90.00
_space_group_name_H-M_alt 'I -4 2 d'
_space_group_IT_number 122
_space_group_name_Hall 'I -4 2bw'
loop_
_atom_site_label
_atom_site_fract_x
_atom_site_fract_y
_atom_site_fract_z
_atom_site_occupancy
Be1 0.000 0.000 0.000 1
In1 0.000 0.000 0.500 1
Mo1 0.226 0.250 0.125 1

Record 8
# Be2In2Mo | the Alexandria database | GGA-PBE | relaxed
# Energy above the most stable polymorph in this dataset = 0.162 eV/atom
# Calculated formation energy = 0.70 eV/atom
# Electronic total energy = -4.05 eV/atom
# Total magnetization = 0.0000 μB per atom
data_Be2In2Mo
_cell_length_a 7.332
_cell_length_b 7.332
_cell_length_c 2.988
_cell_angle_alpha 90.00
_cell_angle_beta 90.00
_cell_angle_gamma 90.00
_space_group_name_H-M_alt 'P 4/m b m'
_space_group_IT_number 127
_space_group_name_Hall '-P 4 2ab'
loop_
_atom_site_label
_atom_site_fract_x
_atom_site_fract_y
_atom_site_fract_z
_atom_site_occupancy
Be1 0.163 0.337 0.000 1
In1 0.141 0.641 0.500 1
Mo1 0.000 0.000 0.500 1

Record 9
# Na2BeInMo | the Alexandria database | GGA-PBE | relaxed
# Calculated formation energy = 1.25 eV/atom
# Electronic total energy = -2.73 eV/atom
# Total magnetization = 0.6460 μB per atom
data_Na2BeInMo
_cell_length_a 5.746
_cell_length_b 5.746
_cell_length_c 4.411
_cell_angle_alpha 90.00
_cell_angle_beta 90.00
_cell_angle_gamma 90.00
_space_group_name_H-M_alt 'P 4/m m m'
_space_group_IT_number 123
_space_group_name_Hall '-P 4 2'
loop_
_atom_site_label
_atom_site_fract_x
_atom_site_fract_y
_atom_site_fract_z
_atom_site_occupancy
Na1 0.000 0.500 0.000 1
Be1 0.000 0.000 0.500 1
In1 0.500 0.500 0.500 1
Mo1 0.000 0.000 0.000 1